Entry 1:
## Mg5Ta (PBE)

Data for an optimized crystal structure of Mg5Ta.

Cell lengths 6.784, 6.784, 4.451 Å; angles 90.00, 90.00, 142.31 degrees
Fractional coordinates of all 6 atoms:
Mg (0.343, 0.657, 0.500)
Mg (0.164, 0.836, 0.000)
Mg (0.000, 0.000, 0.500)
Mg (0.836, 0.164, 0.000)
Mg (0.657, 0.343, 0.500)
Ta (0.500, 0.500, 0.000)

Computed properties:
total moment: 0.00 Bohr magnetons per cell
density of states at the Fermi level: 4.5 states/eV/cell
E: -3.058 eV per atom
formation energy: 0.25 eV/atom

=====

Entry 2:
## Cd2NiHAu (PBE)

Data for an optimized crystal structure of Cd2NiHAu.

Cell lengths 4.783, 4.783, 3.232 Å; angles 90.00, 90.00, 90.00 degrees
Fractional coordinates of all 5 atoms:
Ni (0.000, 0.000, 0.500)
Au (0.500, 0.500, 0.500)
H (0.000, 0.000, 0.000)
Cd (0.000, 0.500, 0.000)
Cd (0.500, 0.000, 0.000)

Computed properties:
total moment: 0.00 Bohr magnetons per cell
density of states at the Fermi level: 2.5 states/eV/cell
E: -2.855 eV per atom

=====

Entry 3:
## Er4OsRu (PBE)

Data for an optimized crystal structure of Er4OsRu.

Cell lengths 5.864, 6.405, 8.053 Å; angles 90.00, 110.07, 90.00 degrees
Fractional coordinates of all 12 atoms:
Er (0.565, 0.250, 0.391)
Er (0.435, 0.750, 0.609)
Er (0.568, 0.250, 0.893)
Er (0.432, 0.750, 0.107)
Er (0.000, 0.000, 0.250)
Er (0.000, 0.500, 0.750)
Er (0.000, 0.500, 0.250)
Er (0.000, 0.000, 0.750)
Os (0.214, 0.250, 0.054)
Os (0.786, 0.750, 0.946)
Ru (0.211, 0.250, 0.553)
Ru (0.789, 0.750, 0.447)

Computed properties:
total moment: 0.00 Bohr magnetons per cell
density of states at the Fermi level: 4.4 states/eV/cell
E above lowest polymorph: 89 meV per atom
E: -6.736 eV per atom
formation energy: -0.28 eV/atom

=====

Entry 4:
## BaCaSe2Br (PBE)

Data for an optimized crystal structure of BaCaSe2Br.

Cell lengths 5.494, 5.494, 5.609 Å; angles 90.00, 90.00, 90.00 degrees
Fractional coordinates of all 5 atoms:
Ca (0.000, 0.000, 0.000)
Se (0.000, 0.500, 0.000)
Se (0.500, 0.000, 0.000)
Ba (0.500, 0.500, 0.500)
Br (0.000, 0.000, 0.500)

Computed properties:
total moment: 0.00 Bohr magnetons per cell
density of states at the Fermi level: 3.1 states/eV/cell
E above lowest polymorph: 0 meV per atom
E: -4.021 eV per atom
E_form (uncorrected): -1.51 eV/atom